[1]
Computed, not measured: ScHgI2 after structural relaxation at the PBE-GGA level of DFT.

- E_tot (eV/atom) = -3.243
- calculated volume (Å³ per cell) = 300
- E_form (uncorrected) (eV/atom) = -0.810
- E above lowest polymorph (meV per atom) = 0

CIF file:
```
data_ScHgI2
_chemical_formula_sum 'Sc2 Hg2 I4'
_cell_length_a 6.953
_cell_length_b 4.012
_cell_length_c 11.002
_cell_angle_alpha 90.00
_cell_angle_beta 102.22
_cell_angle_gamma 90.00
_symmetry_space_group_name_H-M 'C 1 m 1'
_symmetry_Int_Tables_number 8
_symmetry_space_group_name_Hall 'C -2y'
loop_
_atom_site_label
_atom_site_fract_x
_atom_site_fract_y
_atom_site_fract_z
_atom_site_occupancy
Sc1 0.000 0.000 0.000 1
Hg1 0.326 0.500 0.504 1
I1 0.110 0.500 0.831 1
I2 0.390 0.000 0.169 1
```

[2]
Computed, not measured: ScHgI2 after structural relaxation at the PBE-GGA level of DFT.

- E_tot (eV/atom) = -3.089
- calculated volume (Å³ per cell) = 651
- E_form (uncorrected) (eV/atom) = -0.655
- E above lowest polymorph (meV per atom) = 155

CIF file:
```
data_ScHgI2
_chemical_formula_sum 'Sc4 Hg4 I8'
_cell_length_a 10.415
_cell_length_b 10.415
_cell_length_c 5.998
_cell_angle_alpha 90.00
_cell_angle_beta 90.00
_cell_angle_gamma 90.00
_symmetry_space_group_name_H-M 'I -4 2 d'
_symmetry_Int_Tables_number 122
_symmetry_space_group_name_Hall 'I -4 2bw'
loop_
_atom_site_label
_atom_site_fract_x
_atom_site_fract_y
_atom_site_fract_z
_atom_site_occupancy
Sc1 0.000 0.000 0.000 1
Hg1 0.000 0.000 0.500 1
I1 0.102 0.750 0.125 1
```

[3]
Computed, not measured: Sc2HgI after structural relaxation at the PBE-GGA level of DFT.

- E_tot (eV/atom) = -3.584
- calculated volume (Å³ per cell) = 544
- E_form (uncorrected) (eV/atom) = 0.045
- E above lowest polymorph (meV per atom) = 270

CIF file:
```
data_Sc2HgI
_chemical_formula_sum 'Sc8 Hg4 I4'
_cell_length_a 6.092
_cell_length_b 6.092
_cell_length_c 14.670
_cell_angle_alpha 90.00
_cell_angle_beta 90.00
_cell_angle_gamma 90.00
_symmetry_space_group_name_H-M 'I -4 2 d'
_symmetry_Int_Tables_number 122
_symmetry_space_group_name_Hall 'I -4 2bw'
loop_
_atom_site_label
_atom_site_fract_x
_atom_site_fract_y
_atom_site_fract_z
_atom_site_occupancy
Sc1 0.212 0.250 0.125 1
Hg1 0.000 0.000 0.000 1
I1 0.000 0.000 0.500 1
```

[4]
Computed, not measured: ScHgI2 after structural relaxation at the PBE-GGA level of DFT.

- E_tot (eV/atom) = -2.780
- calculated volume (Å³ per cell) = 477
- E_form (uncorrected) (eV/atom) = -0.347
- E above lowest polymorph (meV per atom) = 464

CIF file:
```
data_ScHgI2
_chemical_formula_sum 'Sc4 Hg4 I8'
_cell_length_a 7.811
_cell_length_b 7.811
_cell_length_c 7.811
_cell_angle_alpha 90.00
_cell_angle_beta 90.00
_cell_angle_gamma 90.00
_symmetry_space_group_name_H-M 'F m -3 m'
_symmetry_Int_Tables_number 225
_symmetry_space_group_name_Hall '-F 4 2 3'
loop_
_atom_site_label
_atom_site_fract_x
_atom_site_fract_y
_atom_site_fract_z
_atom_site_occupancy
Sc1 0.000 0.000 0.000 1
Hg1 0.000 0.000 0.500 1
I1 0.250 0.250 0.250 1
```

[5]
Computed, not measured: ScHg2I6 after structural relaxation at the PBE-GGA level of DFT.

- E_tot (eV/atom) = -2.405
- calculated volume (Å³ per cell) = 1706
- E_form (uncorrected) (eV/atom) = -0.601

CIF file:
```
data_ScHg2I6
_chemical_formula_sum 'Sc4 Hg8 I24'
_cell_length_a 16.279
_cell_length_b 14.519
_cell_length_c 7.517
_cell_angle_alpha 90.00
_cell_angle_beta 106.18
_cell_angle_gamma 90.00
_symmetry_space_group_name_H-M 'C 1 2/c 1'
_symmetry_Int_Tables_number 15
_symmetry_space_group_name_Hall '-C 2yc'
loop_
_atom_site_label
_atom_site_fract_x
_atom_site_fract_y
_atom_site_fract_z
_atom_site_occupancy
Sc1 0.000 0.072 0.250 1
Hg1 0.077 0.400 0.197 1
I1 0.103 0.066 0.637 1
I2 0.123 0.205 0.198 1
I3 0.147 0.430 0.883 1
```

[6]
Computed, not measured: Sc2HgI after structural relaxation at the PBE-GGA level of DFT.

- E_tot (eV/atom) = -3.854
- calculated volume (Å³ per cell) = 378
- E_form (uncorrected) (eV/atom) = -0.226
- E above lowest polymorph (meV per atom) = 0

CIF file:
```
data_Sc2HgI
_chemical_formula_sum 'Sc8 Hg4 I4'
_cell_length_a 7.233
_cell_length_b 7.233
_cell_length_c 7.233
_cell_angle_alpha 90.00
_cell_angle_beta 90.00
_cell_angle_gamma 90.00
_symmetry_space_group_name_H-M 'F m -3 m'
_symmetry_Int_Tables_number 225
_symmetry_space_group_name_Hall '-F 4 2 3'
loop_
_atom_site_label
_atom_site_fract_x
_atom_site_fract_y
_atom_site_fract_z
_atom_site_occupancy
Sc1 0.250 0.250 0.250 1
Hg1 0.000 0.000 0.000 1
I1 0.000 0.000 0.500 1
```

[7]
Computed, not measured: Sc2HgI after structural relaxation at the PBE-GGA level of DFT.

- E_tot (eV/atom) = -3.624
- calculated volume (Å³ per cell) = 337
- E_form (uncorrected) (eV/atom) = 0.005
- E above lowest polymorph (meV per atom) = 231

CIF file:
```
data_Sc2HgI
_chemical_formula_sum 'Sc6 Hg3 I3'
_cell_length_a 3.5216
_cell_length_b 3.5216
_cell_length_c 31.4219
_cell_angle_alpha 90.00
_cell_angle_beta 90.00
_cell_angle_gamma 120.00
_symmetry_space_group_name_H-M 'R -3 m'
_symmetry_Int_Tables_number 166
_symmetry_space_group_name_Hall '-R 3 2"'
loop_
_atom_site_label
_atom_site_fract_x
_atom_site_fract_y
_atom_site_fract_z
_atom_site_occupancy
Sc1 0.0000 0.0000 0.0927 1
Hg1 0.0000 0.0000 0.0000 1
I1 0.0000 0.0000 0.5000 1
```

[8]
Computed, not measured: ScHg2I8 after structural relaxation at the PBE-GGA level of DFT.

- E_tot (eV/atom) = -2.297
- calculated volume (Å³ per cell) = 1064
- E_form (uncorrected) (eV/atom) = -0.539

CIF file:
```
data_ScHg2I8
_chemical_formula_sum 'Sc2 Hg4 I16'
_cell_length_a 11.976
_cell_length_b 12.886
_cell_length_c 6.920
_cell_angle_alpha 90.00
_cell_angle_beta 94.95
_cell_angle_gamma 90.00
_symmetry_space_group_name_H-M 'C 1 2/m 1'
_symmetry_Int_Tables_number 12
_symmetry_space_group_name_Hall '-C 2y'
loop_
_atom_site_label
_atom_site_fract_x
_atom_site_fract_y
_atom_site_fract_z
_atom_site_occupancy
Sc1 0.000 0.000 0.000 1
Hg1 0.235 0.000 0.655 1
I1 0.029 0.500 0.251 1
I2 0.098 0.165 0.781 1
I3 0.212 0.000 0.241 1
```

[9]
Computed, not measured: SrScHgI6 after structural relaxation at the PBE-GGA level of DFT.

- E_tot (eV/atom) = -3.028
- calculated volume (Å³ per cell) = 391
- E_form (uncorrected) (eV/atom) = -1.071

CIF file:
```
data_SrScHgI6
_chemical_formula_sum 'Sr1 Sc1 Hg1 I6'
_cell_length_a 7.9299
_cell_length_b 7.9299
_cell_length_c 7.1848
_cell_angle_alpha 90.00
_cell_angle_beta 90.00
_cell_angle_gamma 120.00
_symmetry_space_group_name_H-M 'P 3 1 2'
_symmetry_Int_Tables_number 149
_symmetry_space_group_name_Hall 'P 3 2'
loop_
_atom_site_label
_atom_site_fract_x
_atom_site_fract_y
_atom_site_fract_z
_atom_site_occupancy
Sr1 0.0000 0.0000 0.0000 1
Sc1 0.3333 0.6667 0.0000 1
Hg1 0.6667 0.3333 0.5000 1
I1 0.0368 0.3679 0.2390 1
```

[10]
Computed, not measured: ScV2HgI after structural relaxation at the PBE-GGA level of DFT.

- E_tot (eV/atom) = -4.306
- calculated volume (Å³ per cell) = 141
- E_form (uncorrected) (eV/atom) = 0.978
- E above lowest polymorph (meV per atom) = 0

CIF file:
```
data_ScV2HgI
_chemical_formula_sum 'Sc1 V2 Hg1 I1'
_cell_length_a 5.148
_cell_length_b 5.148
_cell_length_c 5.337
_cell_angle_alpha 90.00
_cell_angle_beta 90.00
_cell_angle_gamma 90.00
_symmetry_space_group_name_H-M 'P 4/m m m'
_symmetry_Int_Tables_number 123
_symmetry_space_group_name_Hall '-P 4 2'
loop_
_atom_site_label
_atom_site_fract_x
_atom_site_fract_y
_atom_site_fract_z
_atom_site_occupancy
Sc1 0.000 0.000 0.000 1
V1 0.000 0.500 0.500 1
Hg1 0.000 0.000 0.500 1
I1 0.500 0.500 0.000 1
```

Q: E_form (uncorrected) of number 3 (Sc2HgI)?
A: 0.045 eV/atom

What did the eighth record say?
Computed, not measured: ScHg2I8 after structural relaxation at the PBE-GGA level of DFT.

- E_tot (eV/atom) = -2.297
- calculated volume (Å³ per cell) = 1064
- E_form (uncorrected) (eV/atom) = -0.539

CIF file:
```
data_ScHg2I8
_chemical_formula_sum 'Sc2 Hg4 I16'
_cell_length_a 11.976
_cell_length_b 12.886
_cell_length_c 6.920
_cell_angle_alpha 90.00
_cell_angle_beta 94.95
_cell_angle_gamma 90.00
_symmetry_space_group_name_H-M 'C 1 2/m 1'
_symmetry_Int_Tables_number 12
_symmetry_space_group_name_Hall '-C 2y'
loop_
_atom_site_label
_atom_site_fract_x
_atom_site_fract_y
_atom_site_fract_z
_atom_site_occupancy
Sc1 0.000 0.000 0.000 1
Hg1 0.235 0.000 0.655 1
I1 0.029 0.500 0.251 1
I2 0.098 0.165 0.781 1
I3 0.212 0.000 0.241 1
```

Q: Which of these has the lowest E_form (uncorrected)?
A: SrScHgI6